(1)
DFT (SCAN) results for a crystal of ScTcP2O relaxed with PBEsol.

Unit cell a=3.7605 b=4.9194 c=4.9194 alpha=90.00 beta=90.00 gamma=90.00
Closest atoms and distances in Å follow each position.
Element x y z (fractional)
Tc (0.5000, 0.5000, 0.5000)  8 P 3.10
P (0.0000, 0.5000, 0.0000)  2 Sc 2.46
P (0.0000, 0.0000, 0.5000)  2 Sc 2.46
Sc (0.0000, 0.0000, 0.0000)  2 O 1.88
O (0.5000, 0.0000, 0.0000)  2 Sc 1.88

Results
Volume, Å³/cell: 91.0
Excess energy over the best structure of this formula in the dataset, eV/atom: 0.697
SG: No. 123
Total magnetic moment, μB per formula unit: 2.70
Uncorrected formation energy, eV per atom: 0.0674
Theoretical density, g cm⁻³: 4.03


(2)
DFT (SCAN) results for a crystal of ScTiP2O relaxed with PBEsol.

Unit cell a=3.7804 b=4.8816 c=4.8816 alpha=90.00 beta=90.00 gamma=90.00
Closest atoms and distances in Å follow each position.
Element x y z (fractional)
Ti (0.5000, 0.5000, 0.5000)  8 P 3.09, 4 O 3.45
Sc (0.0000, 0.0000, 0.0000)  2 O 1.89
P (0.0000, 0.5000, 0.0000)  2 Sc 2.44
O (0.5000, 0.0000, 0.0000)  2 Sc 1.89
P (0.0000, 0.0000, 0.5000)  2 Sc 2.44

Results
Volume, Å³/cell: 90.1
SG: No. 123
Total magnetic moment, μB per formula unit: 0.13
Uncorrected formation energy, eV per atom: -0.4440
Theoretical density, g cm⁻³: 3.15


(3)
DFT (SCAN) results for a crystal of YScP2O relaxed with PBEsol.

Unit cell a=3.9026 b=4.9423 c=4.9423 alpha=90.00 beta=90.00 gamma=90.00
Closest atoms and distances in Å follow each position.
Element x y z (fractional)
P (0.0000, 0.0000, 0.5000)  2 Sc 2.47
O (0.5000, 0.0000, 0.0000)  2 Sc 1.95
Y (0.5000, 0.5000, 0.5000)  8 P 3.15, 4 O 3.49
P (0.0000, 0.5000, 0.0000)  2 Sc 2.47
Sc (0.0000, 0.0000, 0.0000)  2 O 1.95

Results
Volume, Å³/cell: 95.3
SG: No. 123
Total magnetic moment, μB per formula unit: 0.77
Uncorrected formation energy, eV per atom: -1.2153
Theoretical density, g cm⁻³: 3.69


(4)
DFT (SCAN) results for a crystal of ZrScPO2 relaxed with PBEsol.

Unit cell a=3.9004 b=3.9004 c=5.0599 alpha=90.00 beta=90.00 gamma=90.00
Closest atoms and distances in Å follow each position.
Element x y z (fractional)
Zr (0.5000, 0.5000, 0.5000)  4 P 2.76
Sc (0.0000, 0.0000, 0.0000)  4 O 1.95
O (0.0000, 0.5000, 0.0000)  2 Sc 1.95
O (0.5000, 0.0000, 0.0000)  2 Sc 1.95
P (0.0000, 0.0000, 0.5000)  2 Sc 2.53, 4 Zr 2.76

Results
Volume, Å³/cell: 77.0
SG: No. 123
Total magnetic moment, μB per formula unit: 0.00
Uncorrected formation energy, eV per atom: -1.8060
Theoretical density, g cm⁻³: 4.30


(5)
DFT (SCAN) results for a crystal of P2SeO2 relaxed with PBEsol.

Unit cell a=3.6389 b=3.6389 c=5.1757 alpha=90.00 beta=90.00 gamma=90.00
Closest atoms and distances in Å follow each position.
Element x y z (fractional)
P (0.0000, 0.0000, 0.5000)  4 P 2.57, 2 Se 2.59
Se (0.0000, 0.0000, 0.0000)  4 O 1.82
O (0.5000, 0.0000, 0.0000)  2 Se 1.82
O (0.0000, 0.5000, 0.0000)  2 Se 1.82
P (0.5000, 0.5000, 0.5000)  4 P 2.57

Results
Volume, Å³/cell: 68.5
SG: No. 123
Total magnetic moment, μB per formula unit: 0.95
Uncorrected formation energy, eV per atom: 0.2964
Theoretical density, g cm⁻³: 4.19


(6)
DFT (SCAN) results for a crystal of P2SeO3 relaxed with PBEsol.

Unit cell a=6.4405 b=11.7111 c=11.6195 alpha=91.95 beta=90.00 gamma=90.00
Closest atoms and distances in Å follow each position.
Element x y z (fractional)
O (0.4456, 0.7829, 0.8562)  2 P 1.63-1.64
Se (0.7460, 0.5839, 0.3020)  1 P 2.05
P (0.6622, 0.3526, 0.4636)  3 O 1.65-1.69
P (0.7254, 0.1394, 0.0717)  3 O 1.60-1.64
P (0.9489, 0.6701, 0.4103)  3 O 1.60-1.63
Se (0.3435, 0.9921, 0.3367)  1 P 2.05
P (0.4943, 0.2055, 0.8678)  3 O 1.66-1.70
Se (0.7540, 0.5839, 0.8020)  1 P 2.05
O (0.8920, 0.2332, 0.0354)  2 P 1.60-1.69
O (0.8526, 0.4027, 0.5517)  2 P 1.61-1.69
O (0.6474, 0.4027, 0.0517)  2 P 1.61-1.69
P (0.1622, 0.6474, 0.0364)  3 O 1.65-1.69
O (0.6435, 0.7204, 0.0293)  2 P 1.60-1.70
O (0.8965, 0.1090, 0.4547)  2 P 1.60-1.69
O (0.6080, 0.2332, 0.5354)  2 P 1.60-1.69
O (0.1080, 0.7668, 0.9646)  2 P 1.60-1.69
P (0.3378, 0.6474, 0.5364)  3 O 1.65-1.69
O (0.3965, 0.8910, 0.0453)  2 P 1.60-1.69
P (0.9943, 0.7945, 0.6322)  3 O 1.66-1.70
P (0.5511, 0.6701, 0.9103)  3 O 1.60-1.63
O (0.6942, 0.2942, 0.8601)  2 P 1.65-1.66
Se (0.6565, 0.0079, 0.6633)  1 P 2.05
O (0.1035, 0.8910, 0.5453)  2 P 1.60-1.69
O (0.1474, 0.5973, 0.4483)  2 P 1.61-1.69
Se (0.2460, 0.4161, 0.1980)  1 P 2.05
P (0.2746, 0.8606, 0.9283)  3 O 1.60-1.64
O (0.8565, 0.7204, 0.5293)  2 P 1.60-1.70
O (0.0544, 0.7829, 0.3562)  2 P 1.63-1.64
O (0.3058, 0.7058, 0.1399)  2 P 1.65-1.66
O (0.1942, 0.7058, 0.6399)  2 P 1.65-1.66
O (0.6035, 0.1090, 0.9547)  2 P 1.60-1.69
P (0.7746, 0.1394, 0.5717)  3 O 1.60-1.64
O (0.5544, 0.2171, 0.1438)  2 P 1.63-1.64
P (0.0511, 0.3299, 0.5897)  3 O 1.60-1.63
O (0.9456, 0.2171, 0.6438)  2 P 1.63-1.64
P (0.5057, 0.7945, 0.1322)  3 O 1.66-1.70
P (0.8378, 0.3526, 0.9636)  3 O 1.65-1.69
P (0.4489, 0.3299, 0.0897)  3 O 1.60-1.63
P (0.0057, 0.2055, 0.3678)  3 O 1.66-1.70
P (0.2254, 0.8606, 0.4283)  3 O 1.60-1.64
O (0.3526, 0.5973, 0.9483)  2 P 1.61-1.69
O (0.3920, 0.7668, 0.4646)  2 P 1.60-1.69
Se (0.2540, 0.4161, 0.6980)  1 P 2.05
O (0.8058, 0.2942, 0.3601)  2 P 1.65-1.66
Se (0.1565, 0.9921, 0.8367)  1 P 2.05
Se (0.8435, 0.0079, 0.1633)  1 P 2.05
O (0.3565, 0.2796, 0.9707)  2 P 1.60-1.70
O (0.1435, 0.2796, 0.4707)  2 P 1.60-1.70

Results
Volume, Å³/cell: 875.9
SG: No. 14
Total magnetic moment, μB per formula unit: 0.00
Uncorrected formation energy, eV per atom: -1.4527
Theoretical density, g cm⁻³: 2.87


(7)
DFT (SCAN) results for a crystal of PSe2O relaxed with PBEsol.

Unit cell a=3.5155 b=3.5155 c=7.2022 alpha=75.87 beta=75.87 gamma=60.00
Closest atoms and distances in Å follow each position.
Element x y z (fractional)
P (0.5000, 0.5000, 0.5000)  6 Se 2.56
Se (0.0917, 0.0917, 0.7250)  1 O 1.90
Se (0.9083, 0.9083, 0.2750)  1 O 1.90
O (0.0000, 0.0000, 0.0000)  2 Se 1.90

Results
Volume, Å³/cell: 74.0
SG: No. 166
Total magnetic moment, μB per formula unit: 0.00
Uncorrected formation energy, eV per atom: 0.2392
Theoretical density, g cm⁻³: 4.60


(8)
DFT (SCAN) results for a crystal of P4SeO7 relaxed with PBEsol.

Unit cell a=6.8339 b=7.1935 c=8.6211 alpha=95.02 beta=105.21 gamma=97.01
Closest atoms and distances in Å follow each position.
Element x y z (fractional)
P (0.7379, 0.7544, 0.1161)  3 O 1.61-1.64
P (0.2621, 0.2456, 0.8839)  3 O 1.61-1.64
P (0.6286, 0.2906, 0.7672)  3 O 1.64-1.71
O (0.2193, 0.0302, 0.7903)  2 P 1.61-1.64
O (0.7807, 0.9698, 0.2097)  2 P 1.61-1.64
Se (0.1520, 0.2708, 0.0816)  1 P 2.04
P (0.2255, 0.3592, 0.5613)  3 O 1.65-1.69
O (0.5055, 0.2993, 0.9137)  2 P 1.61-1.69
O (0.8345, 0.6384, 0.2616)  2 P 1.61-1.68
O (0.8055, 0.8772, 0.4880)  2 P 1.59-1.69
O (0.5314, 0.0623, 0.6871)  2 P 1.59-1.71
O (0.4771, 0.3964, 0.6335)  2 P 1.64-1.65
Se (0.8480, 0.7292, 0.9184)  1 P 2.04
P (0.2939, 0.9812, 0.6306)  4 O 1.46-1.61
O (0.2413, 0.7818, 0.5641)  1 P 1.46
O (0.4686, 0.9377, 0.3129)  2 P 1.59-1.71
P (0.7061, 0.0188, 0.3694)  4 O 1.46-1.61
O (0.7587, 0.2182, 0.4359)  1 P 1.46
O (0.1655, 0.3616, 0.7384)  2 P 1.61-1.68
O (0.4945, 0.7007, 0.0863)  2 P 1.61-1.69
O (0.5229, 0.6036, 0.3665)  2 P 1.64-1.65
P (0.7745, 0.6408, 0.4387)  3 O 1.65-1.69
P (0.3714, 0.7094, 0.2328)  3 O 1.64-1.71
O (0.1945, 0.1228, 0.5120)  2 P 1.59-1.69

Results
Volume, Å³/cell: 402.7
SG: No. 2
Total magnetic moment, μB per formula unit: 0.00
Uncorrected formation energy, eV per atom: -1.7149
Theoretical density, g cm⁻³: 2.60


(9)
DFT (SCAN) results for a crystal of SiPSeO2 relaxed with PBEsol.

Unit cell a=3.3874 b=3.3874 c=5.7557 alpha=90.00 beta=90.00 gamma=90.00
Closest atoms and distances in Å follow each position.
Element x y z (fractional)
O (0.5000, 0.0000, 0.0000)  2 Si 1.69
Si (0.0000, 0.0000, 0.0000)  4 O 1.69
P (0.0000, 0.0000, 0.5000)  4 Se 2.40
O (0.0000, 0.5000, 0.0000)  2 Si 1.69
Se (0.5000, 0.5000, 0.5000)  4 P 2.40

Results
Volume, Å³/cell: 66.0
SG: No. 123
Total magnetic moment, μB per formula unit: 0.00
Uncorrected formation energy, eV per atom: -0.9506
Theoretical density, g cm⁻³: 4.27


(10)
DFT (SCAN) results for a crystal of TcPSeO2 relaxed with PBEsol.

Unit cell a=3.7273 b=3.7273 c=4.9948 alpha=90.00 beta=90.00 gamma=90.00
Closest atoms and distances in Å follow each position.
Element x y z (fractional)
O (0.5000, 0.0000, 0.0000)  2 Se 1.86
Tc (0.5000, 0.5000, 0.5000)  4 P 2.64
O (0.0000, 0.5000, 0.0000)  2 Se 1.86
P (0.0000, 0.0000, 0.5000)  2 Se 2.50, 4 Tc 2.64
Se (0.0000, 0.0000, 0.0000)  4 O 1.86

Results
Volume, Å³/cell: 69.4
SG: No. 123
Total magnetic moment, μB per formula unit: 3.97
Uncorrected formation energy, eV per atom: 0.2829
Theoretical density, g cm⁻³: 5.74


(11)
DFT (SCAN) results for a crystal of TiP2SeO relaxed with PBEsol.

Unit cell a=3.6655 b=4.6852 c=4.6852 alpha=90.00 beta=90.00 gamma=90.00
Closest atoms and distances in Å follow each position.
Element x y z (fractional)
Ti (0.5000, 0.5000, 0.5000)  8 P 2.97, 4 O 3.31
P (0.0000, 0.0000, 0.5000)  2 Se 2.34
P (0.0000, 0.5000, 0.0000)  2 Se 2.34
O (0.5000, 0.0000, 0.0000)  2 Se 1.83
Se (0.0000, 0.0000, 0.0000)  2 O 1.83

Results
Volume, Å³/cell: 80.5
SG: No. 123
Total magnetic moment, μB per formula unit: 0.21
Uncorrected formation energy, eV per atom: 0.3186
Theoretical density, g cm⁻³: 4.23


(12)
DFT (SCAN) results for a crystal of TlP2SeO relaxed with PBEsol.

Unit cell a=4.0097 b=5.0930 c=5.0930 alpha=90.00 beta=90.00 gamma=90.00
Closest atoms and distances in Å follow each position.
Element x y z (fractional)
Se (0.5000, 0.5000, 0.5000)  8 P 3.24, 4 O 3.60
P (0.0000, 0.0000, 0.5000)  2 Tl 2.55
O (0.5000, 0.0000, 0.0000)  2 Tl 2.00
Tl (0.0000, 0.0000, 0.0000)  2 O 2.00
P (0.0000, 0.5000, 0.0000)  2 Tl 2.55

Results
Volume, Å³/cell: 104.0
Excess energy over the best structure of this formula in the dataset, eV/atom: 0.607
SG: No. 123
Total magnetic moment, μB per formula unit: 0.00
Uncorrected formation energy, eV per atom: 1.1122
Theoretical density, g cm⁻³: 5.77


What is the theoretical density in the second record?
3.15 g cm⁻³